Entry i
Below is crystalline BaLiAu2 at its relaxed geometry, with properties calculated at the PBEsol level.

Output
spin magnetization	0.00	μB/cell

```
12
Lattice="4.528 0.000 0.000 -2.264 3.921 0.000 0.000 0.000 16.785" Properties=species:S:1:pos:R:3 pbc="T T T"
Ba 0.000 0.000 0.000
Ba 0.000 2.614 11.190
Ba 2.264 1.307 5.595
Li 0.000 0.000 13.628
Li 0.000 2.614 8.033
Li 2.264 1.307 2.438
Au 0.000 0.000 3.357
Au 0.000 0.000 7.876
Au 0.000 2.614 2.281
Au 0.000 2.614 14.548
Au 2.264 1.307 8.953
Au 2.264 1.307 13.471
```

Entry ii
Below is crystalline BaLiAu2 at its relaxed geometry, with properties calculated at the PBEsol level.

Output
spin magnetization	0.00	μB/cell

```
8
Lattice="7.906 0.000 0.000 0.000 4.565 0.000 -2.643 0.000 5.511" Properties=species:S:1:pos:R:3 pbc="T T T"
Ba 0.000 0.000 0.000
Ba 3.953 2.282 0.000
Li -1.322 2.282 2.756
Li 2.631 0.000 2.756
Au -0.004 0.000 3.351
Au 1.313 2.282 2.160
Au 3.949 2.282 3.351
Au 5.266 0.000 2.160
```

Entry iii
Below is crystalline BaLiAu2 at its relaxed geometry, with properties calculated at the PBEsol level.

Output
spin magnetization	0.00	μB/cell

```
4
Lattice="4.416 0.000 0.000 0.000 4.782 0.000 -0.252 0.000 5.090" Properties=species:S:1:pos:R:3 pbc="T T T"
Ba 0.000 0.000 0.000
Li 2.349 2.391 1.723
Au 1.928 2.391 4.245
Au 2.014 0.000 2.650
```

The structure with the most favorable energy is entry ii; the runner-up is 91 meV per atom above it.

Entry i
Below is crystalline BaMoAu at its relaxed geometry, with properties calculated at the PBEsol level.

Output
spin magnetization	0.00	μB/cell

```
6
Lattice="3.165 0.000 0.000 0.000 3.165 0.000 0.000 0.000 13.705" Properties=species:S:1:pos:R:3 pbc="T T T"
Ba 0.000 0.000 0.000
Ba 1.583 1.583 6.852
Mo 0.000 0.000 9.542
Mo 1.583 1.583 2.690
Au 0.000 0.000 4.207
Au 1.583 1.583 11.059
```

Entry ii
Below is crystalline BaMoAu at its relaxed geometry, with properties calculated at the PBEsol level.

Output
spin magnetization	11.34	μB/cell

```
12
Lattice="6.797 0.000 0.000 0.000 6.797 0.000 0.000 0.000 6.797" Properties=species:S:1:pos:R:3 pbc="T T T"
Ba 0.000 0.000 0.000
Ba 0.000 3.399 3.399
Ba 3.399 0.000 3.399
Ba 3.399 3.399 0.000
Mo 1.699 1.699 1.699
Mo 1.699 5.098 5.098
Mo 5.098 1.699 5.098
Mo 5.098 5.098 1.699
Au 0.000 0.000 3.399
Au 0.000 3.399 0.000
Au 3.399 0.000 0.000
Au 3.399 3.399 3.399
```

The structure with the most favorable energy is entry i; the runner-up is 495 meV per atom above it.

Entry i
Below is crystalline Ba2OsAu at its relaxed geometry, with properties calculated at the PBEsol level.

Output
spin magnetization	0.81	μB/cell

```
8
Lattice="8.416 0.000 0.000 0.000 3.279 0.000 -1.055 0.000 8.396" Properties=species:S:1:pos:R:3 pbc="T T T"
Ba 1.835 0.000 1.939
Ba 1.317 1.639 6.457
Ba 6.044 1.639 1.939
Ba 5.525 0.000 6.457
Os 0.000 1.639 0.000
Os 4.208 0.000 0.000
Au -0.528 0.000 4.198
Au 3.680 1.639 4.198
```

Entry ii
Below is crystalline Ba2OsAu at its relaxed geometry, with properties calculated at the PBEsol level.

Output
spin magnetization	0.00	μB/cell

```
8
Lattice="4.542 0.000 0.000 0.000 4.958 0.000 0.000 0.000 11.148" Properties=species:S:1:pos:R:3 pbc="T T T"
Ba 0.000 0.000 0.000
Ba 0.000 2.479 2.484
Ba 2.271 0.000 8.058
Ba 2.271 2.479 5.574
Os 0.000 2.479 9.333
Os 2.271 0.000 3.759
Au 0.000 0.000 4.785
Au 2.271 2.479 10.359
```

The structure with the most favorable energy is entry ii; the runner-up is 219 meV per atom above it.

Entry i
Below is crystalline Ba2OsAu at its relaxed geometry, with properties calculated at the PBEsol level.

Output
spin magnetization	3.33	μB/cell

```
16
Lattice="7.369 0.000 0.000 0.000 7.369 0.000 0.000 0.000 7.369" Properties=species:S:1:pos:R:3 pbc="T T T"
Ba 0.000 0.000 0.000
Ba 0.000 3.684 3.684
Ba 1.842 1.842 1.842
Ba 1.842 5.527 5.527
Ba 3.684 0.000 3.684
Ba 3.684 3.684 0.000
Ba 5.527 1.842 5.527
Ba 5.527 5.527 1.842
Os 0.000 0.000 3.684
Os 0.000 3.684 0.000
Os 3.684 0.000 0.000
Os 3.684 3.684 3.684
Au 1.842 1.842 5.527
Au 1.842 5.527 1.842
Au 5.527 1.842 1.842
Au 5.527 5.527 5.527
```

Entry ii
Below is crystalline Ba2OsAu at its relaxed geometry, with properties calculated at the PBEsol level.

Output
spin magnetization	1.26	μB/cell

```
4
Lattice="4.527 0.000 0.000 0.000 4.527 0.000 0.000 0.000 6.303" Properties=species:S:1:pos:R:3 pbc="T T T"
Ba 0.000 0.000 0.000
Ba 2.263 2.263 3.154
Os 0.000 0.000 3.150
Au 2.263 2.263 0.004
```

The structure with the most favorable energy is entry i; the runner-up is 17 meV per atom above it.

Entry i
Below is crystalline BaOsAu2 at its relaxed geometry, with properties calculated at the PBEsol level.

Output
spin magnetization	0.01	μB/cell

```
8
Lattice="2.928 0.000 0.000 0.000 5.448 0.000 0.000 0.000 10.849" Properties=species:S:1:pos:R:3 pbc="T T T"
Ba 0.000 0.000 0.000
Ba 1.464 2.724 5.425
Os 0.000 0.000 5.425
Os 1.464 2.724 0.000
Au 0.000 2.724 2.255
Au 0.000 2.724 8.594
Au 1.464 0.000 3.170
Au 1.464 0.000 7.679
```

Entry ii
Below is crystalline BaOsAu2 at its relaxed geometry, with properties calculated at the PBEsol level.

Output
spin magnetization	5.47	μB/cell

```
16
Lattice="6.960 0.000 0.000 0.000 6.960 0.000 0.000 0.000 6.960" Properties=species:S:1:pos:R:3 pbc="T T T"
Ba 0.000 0.000 0.000
Ba 0.000 3.480 3.480
Ba 3.480 0.000 3.480
Ba 3.480 3.480 0.000
Os 1.740 1.740 1.740
Os 1.740 5.220 5.220
Os 5.220 1.740 5.220
Os 5.220 5.220 1.740
Au 0.000 0.000 3.480
Au 0.000 3.480 0.000
Au 1.740 1.740 5.220
Au 1.740 5.220 1.740
Au 3.480 0.000 0.000
Au 3.480 3.480 3.480
Au 5.220 1.740 1.740
Au 5.220 5.220 5.220
```

The structure with the most favorable energy is entry i; the runner-up is 306 meV per atom above it.

Entry i
Below is crystalline BaPtAu2 at its relaxed geometry, with properties calculated at the PBEsol level.

Output
spin magnetization	0.00	μB/cell

```
12
Lattice="4.649 0.000 0.000 -2.324 4.026 0.000 0.000 0.000 16.119" Properties=species:S:1:pos:R:3 pbc="T T T"
Ba 0.000 0.000 0.000
Ba 0.000 2.684 10.746
Ba 2.324 1.342 5.373
Pt 0.000 0.000 3.073
Pt 0.000 2.684 13.819
Pt 2.324 1.342 8.446
Au 0.000 0.000 8.199
Au 0.000 0.000 13.020
Au 0.000 2.684 2.826
Au 0.000 2.684 7.647
Au 2.324 1.342 2.274
Au 2.324 1.342 13.572
```

Entry ii
Below is crystalline BaPtAu2 at its relaxed geometry, with properties calculated at the PBEsol level.

Output
spin magnetization	0.00	μB/cell

```
4
Lattice="4.352 0.000 0.000 0.000 4.615 0.000 -0.010 0.000 5.256" Properties=species:S:1:pos:R:3 pbc="T T T"
Ba 0.000 0.000 0.000
Pt 2.171 0.000 2.628
Au 2.166 2.307 3.954
Au 2.176 2.307 1.301
```

The structure with the most favorable energy is entry i; the runner-up is 113 meV per atom above it.